Entry from the Alexandria database: a geometry-optimized TlVGeO4 structure (GGA+U).

Geometry as POSCAR:
```
TlVGeO4
1.0
5.341 0.000 0.000
0.000 5.483 0.000
-0.429 0.000 7.744
Tl V Ge O
2 2 2 8
Direct
0.221 0.250 0.138 Tl
0.779 0.750 0.862 Tl
0.180 0.750 0.463 V
0.820 0.250 0.537 V
0.335 0.250 0.648 Ge
0.665 0.750 0.352 Ge
0.102 0.013 0.653 O
0.102 0.487 0.653 O
0.374 0.750 0.234 O
0.462 0.250 0.437 O
0.538 0.750 0.563 O
0.626 0.250 0.766 O
0.898 0.513 0.347 O
0.898 0.987 0.347 O
```

Values from the calculation:
The magnetization comes out at 0.286 μB per atom. The calculation puts the total energy at -6.41 eV per atom.